Sr3Li4Sb4 at its PBEsol-relaxed geometry. Source: the Alexandria database, functional SCAN.

a = 4.7693 Å, b = 7.4207 Å, c = 8.9951 Å
α = 114.36°, β = 105.37°, γ = 90.00°
Sites, in units of the cell vectors:
Sb (0.0000, 0.6932, 0.0000)
Sb (0.0000, 0.3068, 0.0000)
Sb (0.7140, 0.2140, 0.4279)
Sb (0.2860, 0.7860, 0.5721)
Li (0.1749, 0.9825, 0.3499)
Li (0.8251, 0.6326, 0.6501)
Li (0.8251, 0.0175, 0.6501)
Li (0.1749, 0.3674, 0.3499)
Sr (0.5000, 0.0000, 0.0000)
Sr (0.6301, 0.6301, 0.2602)
Sr (0.3699, 0.3699, 0.7398)

Output
crystal system = orthorhombic
formation energy from raw total energies = -0.96 eV per atom
calculated density = 4.65 g/cm³
DFT total energy = -21.455 eV per atom


SrCaPb at its PBEsol-relaxed geometry. Source: the Alexandria database, functional SCAN.

a = 4.0815 Å, b = 5.4306 Å, c = 5.4306 Å
α = 120.00°, β = 90.00°, γ = 90.00°
Sites, in units of the cell vectors:
Pb (0.7760, 0.3333, 0.6667)
Sr (0.3506, 0.6667, 0.3333)
Ca (0.8734, 0.0000, 0.0000)

Output
crystal system = trigonal
E_form = -1.52 eV per formula unit
calculated density = 5.33 g/cm³
DFT total energy = -36.414 eV per atom


Gd2Mo2C3 at its PBEsol-relaxed geometry. Source: the Alexandria database, functional SCAN.

a = 3.3225 Å, b = 5.7066 Å, c = 6.1145 Å
α = 112.24°, β = 105.76°, γ = 90.00°
Sites, in units of the cell vectors:
Gd (0.3916, 0.1807, 0.7831)
Gd (0.6084, 0.8193, 0.2169)
Mo (0.1580, 0.3253, 0.3160)
Mo (0.8420, 0.6747, 0.6840)
C (0.0000, 0.0000, 0.0000)
C (0.2496, 0.7325, 0.4992)
C (0.7504, 0.2675, 0.5008)

Output
crystal system = monoclinic
E_form = -2.29 eV per formula unit
calculated density = 8.78 g/cm³
DFT total energy = -31.428 eV per atom


Q: Look up the DFT total energy of the second one.
A: -36.414 eV per atom